A plane-wave DFT calculation with meta-GGA SCAN was carried out for a crystal of BaB3Rh relaxed with PBEsol.

Values from the calculation:
For the energy of formation from the pure elements, the calculation gives 3434 meV/atom.

```
BaB3Rh
1.0
-1.5036 0.0302 -4.1508
3.4370 -2.4663 -1.2630
-2.3274 -3.6616 0.8165
B Rh Ba
3 1 1
direct
0.0000 0.5000 0.0000
0.0000 0.0000 0.5000
0.5000 0.0000 0.0000
0.5000 0.5000 0.5000
0.0000 0.0000 0.0000
```

A plane-wave DFT calculation with meta-GGA SCAN was carried out for a crystal of Nb3TlCuCl9 relaxed with PBEsol.

Values from the calculation:
The formation energy without anion corrections comes out at -1.27 eV per atom.

```
Nb3TlCuCl9
1.0
-8.9606 -0.4449 1.8360
1.0759 -9.0540 -1.0237
3.8607 4.2526 7.1192
Nb Tl Cu Cl
6 2 2 18
direct
0.1408 0.2007 0.0185
0.8592 0.7993 0.9815
0.8628 0.1598 0.1056
0.1372 0.8402 0.8944
0.1437 0.0791 0.2580
0.8563 0.9209 0.7420
0.6573 0.2358 0.5196
0.3427 0.7642 0.4804
0.6042 0.5433 0.1727
0.3958 0.4567 0.8273
0.3352 0.3316 0.3276
0.6648 0.6684 0.6724
0.3363 0.1771 0.5830
0.6637 0.8229 0.4170
0.3307 0.9039 0.1812
0.6693 0.0961 0.8188
0.0075 0.2777 0.4266
0.9925 0.7223 0.5734
0.0057 0.4248 0.1468
0.9943 0.5752 0.8532
0.3239 0.4635 0.0531
0.6761 0.5365 0.9469
0.6888 0.3543 0.2413
0.3112 0.6457 0.7587
0.3258 0.0498 0.8982
0.6742 0.9502 0.1018
0.9957 0.1443 0.7185
0.0043 0.8557 0.2815
```

A plane-wave DFT calculation with meta-GGA SCAN was carried out for a crystal of TlAg3 relaxed with PBEsol.

Values from the calculation:
For the energy of formation from the pure elements, the calculation gives 103 meV/atom.

```
TlAg3
1.0
-0.6869 -4.0745 -0.4602
2.9664 -0.1717 -2.9080
1.7543 1.2963 4.6851
Tl Ag
1 3
direct
0.0000 0.0000 0.0000
0.7500 0.2500 0.5000
0.5000 0.5000 0.0000
0.2500 0.7500 0.5000
```

A plane-wave DFT calculation with meta-GGA SCAN was carried out for a crystal of Ti3InAg relaxed with PBEsol.

Values from the calculation:
For the energy of formation from the pure elements, the calculation gives 741 meV/atom.

```
Ti3InAg
1.0
-3.0049 3.7175 0.1548
-1.9404 -1.3959 -4.1424
-3.1747 -2.6654 2.3853
Ti Ag In
3 1 1
direct
0.0000 0.5000 0.0000
0.0000 0.0000 0.5000
0.5000 0.0000 0.0000
0.0000 0.0000 0.0000
0.5000 0.5000 0.5000
```

A plane-wave DFT calculation with meta-GGA SCAN was carried out for a crystal of LaIn2W relaxed with PBEsol.

Values from the calculation:
For the energy of formation from the pure elements, the calculation gives 463 meV/atom.

```
LaIn2W
1.0
-2.0812 1.1543 -1.7676
-3.6374 -4.2123 1.5319
-0.0721 4.7935 3.2152
In La W
2 1 1
direct
0.0000 0.5000 0.0000
0.0000 0.0000 0.5000
0.5000 0.0000 0.0000
0.5000 0.5000 0.5000
```

A plane-wave DFT calculation with meta-GGA SCAN was carried out for a crystal of InAgSeS relaxed with PBEsol.

Values from the calculation:
The formation energy without anion corrections comes out at -0.49 eV per atom.

```
InAgSeS
1.0
5.8463 0.0000 0.0000
0.0000 5.9748 0.0000
-2.9232 -2.9874 5.7996
S Se Ag In
2 2 2 2
direct
0.7500 0.4871 0.0000
0.2500 0.0129 0.0000
0.9887 0.2500 0.5000
0.5113 0.7500 0.5000
0.8920 0.6420 0.7841
0.6080 0.8580 0.2159
0.3757 0.1257 0.7514
0.1243 0.3743 0.2486
```

A plane-wave DFT calculation with meta-GGA SCAN was carried out for a crystal of PSO2 relaxed with PBEsol.

Values from the calculation:
The formation energy without anion corrections comes out at -0.10 eV per atom.

```
PSO2
1.0
2.8381 0.0000 0.0000
1.4191 2.4579 0.0000
1.4191 0.8193 8.9564
P S O
1 1 2
direct
0.0000 0.0000 0.0000
0.5000 0.5000 0.5000
0.9451 0.9451 0.1646
0.0549 0.0549 0.8354
```

A plane-wave DFT calculation with meta-GGA SCAN was carried out for a crystal of MgSn5 relaxed with PBEsol.

Values from the calculation:
For the energy of formation from the pure elements, the calculation gives 131 meV/atom.

```
MgSn5
1.0
3.2967 0.0000 0.0000
-1.6483 2.8550 0.0000
0.0000 0.0000 16.2136
Mg Sn
1 5
direct
0.0000 0.0000 0.0000
0.3333 0.6667 0.1542
0.0000 0.0000 0.3272
0.3333 0.6667 0.5000
0.0000 0.0000 0.6728
0.3333 0.6667 0.8458
```

A plane-wave DFT calculation with meta-GGA SCAN was carried out for a crystal of YHgPb2 relaxed with PBEsol.

Values from the calculation:
For the energy of formation from the pure elements, the calculation gives -475 meV/atom.

```
YHgPb2
1.0
-2.3138 -3.8417 0.2154
3.2640 -2.1202 -2.7526
2.4569 -1.2619 3.8855
Pb Y Hg
2 1 1
direct
0.0000 0.0000 0.5000
0.0000 0.5000 0.0000
0.5000 0.5000 0.5000
0.5000 0.0000 0.0000
```

A plane-wave DFT calculation with meta-GGA SCAN was carried out for a crystal of ScReAg2 relaxed with PBEsol.

Values from the calculation:
For the energy of formation from the pure elements, the calculation gives 281 meV/atom.

```
ScReAg2
1.0
3.9642 0.0000 0.0000
0.0000 3.9642 0.0000
0.0000 0.0000 4.1817
Ag Re Sc
2 1 1
direct
0.0000 0.5000 0.0000
0.5000 0.0000 0.0000
0.5000 0.5000 0.5000
0.0000 0.0000 0.5000
```

A plane-wave DFT calculation with meta-GGA SCAN was carried out for a crystal of CaZn2Co2 relaxed with PBEsol.

Values from the calculation:
For the energy of formation from the pure elements, the calculation gives 124 meV/atom.

```
CaZn2Co2
1.0
-0.1221 -2.7712 -2.9513
3.7206 1.0870 -1.1747
0.0932 -2.4149 5.0429
Zn Co Ca
2 2 1
direct
0.2500 0.7500 0.5000
0.7500 0.2500 0.5000
0.3889 0.3889 0.7777
0.6111 0.6111 0.2223
0.0000 0.0000 0.0000
```

A plane-wave DFT calculation with meta-GGA SCAN was carried out for a crystal of CaSiPd relaxed with PBEsol.

Values from the calculation:
The formation energy without anion corrections comes out at -0.84 eV per atom.

```
CaSiPd
1.0
-4.1836 3.8237 0.0688
-3.7335 -4.1160 1.7313
-0.1186 -0.2616 7.3272
Ca Si Pd
4 4 4
direct
0.1261 0.6802 0.1154
0.3739 0.1802 0.6154
0.8739 0.3198 0.8846
0.6261 0.8198 0.3846
0.6187 0.8291 0.9567
0.3813 0.1709 0.0433
0.1187 0.6709 0.5433
0.8813 0.3291 0.4567
0.6102 0.4216 0.1904
0.3898 0.5784 0.8096
0.8898 0.9216 0.6904
0.1102 0.0784 0.3096
```

A plane-wave DFT calculation with meta-GGA SCAN was carried out for a crystal of Y2ZrGaC relaxed with PBEsol.

Values from the calculation:
For the energy of formation from the pure elements, the calculation gives 913 meV/atom.

```
Y2ZrGaC
1.0
3.5552 0.0000 0.0000
0.0000 5.7144 0.0000
0.0000 0.0000 5.7144
Y C Ga Zr
2 1 1 1
direct
0.0000 0.0000 0.5000
0.0000 0.5000 0.0000
0.5000 0.0000 0.0000
0.0000 0.0000 0.0000
0.5000 0.5000 0.5000
```

A plane-wave DFT calculation with meta-GGA SCAN was carried out for a crystal of KSrZnGa2 relaxed with PBEsol.

Values from the calculation:
For the energy of formation from the pure elements, the calculation gives 1060 meV/atom.

```
KSrZnGa2
1.0
5.4888 0.0000 0.0000
0.0000 5.4888 0.0000
0.0000 0.0000 6.2559
Sr Zn K Ga
1 1 1 2
direct
0.0000 0.0000 0.5000
0.5000 0.5000 0.5000
0.0000 0.0000 0.0000
0.0000 0.5000 0.0000
0.5000 0.0000 0.0000
```

A plane-wave DFT calculation with meta-GGA SCAN was carried out for a crystal of Ag2PPt relaxed with PBEsol.

Values from the calculation:
For the energy of formation from the pure elements, the calculation gives 366 meV/atom.

```
Ag2PPt
1.0
2.7900 0.0000 0.0000
0.0000 4.7795 0.0000
0.0000 0.0000 4.7795
Ag P Pt
2 1 1
direct
0.0000 0.0000 0.5000
0.0000 0.5000 0.0000
0.5000 0.5000 0.5000
0.5000 0.0000 0.0000
```

A plane-wave DFT calculation with meta-GGA SCAN was carried out for a crystal of CuAgOs2 relaxed with PBEsol.

Values from the calculation:
For the energy of formation from the pure elements, the calculation gives 649 meV/atom.

```
CuAgOs2
1.0
-1.2217 2.8836 -2.3242
0.3776 -2.3376 -3.0988
-3.0297 -1.3933 3.1359
Ag Cu Os
1 1 2
direct
0.5000 0.5000 0.0000
0.2500 0.7500 0.5000
0.0000 0.0000 0.0000
0.7500 0.2500 0.5000
```

A plane-wave DFT calculation with meta-GGA SCAN was carried out for a crystal of Li4Mn3Fe3Te2O16 relaxed with PBEsol.

Values from the calculation:
The formation energy without anion corrections comes out at -1.78 eV per atom.

```
Li4Mn3Fe3Te2O16
1.0
-2.9659 0.1847 4.8738
4.5250 -3.4337 -0.4591
5.8313 7.2167 3.2751
Mn Te Fe O Li
3 2 3 16 4
direct
0.1725 0.3451 0.7835
0.8307 0.1720 0.2844
0.3412 0.1720 0.2844
0.3350 0.6701 0.5084
0.6690 0.3381 0.0033
0.6527 0.8294 0.7849
0.1767 0.8294 0.7849
0.8264 0.6528 0.2855
0.6903 0.8441 0.3934
0.4870 0.9740 0.6716
0.3315 0.6629 0.8934
0.9997 0.9994 0.6935
0.9995 0.9990 0.1909
0.1538 0.8441 0.3934
0.4859 0.5141 0.6691
0.0282 0.5141 0.6691
0.8448 0.6895 0.8915
0.1560 0.3121 0.3956
0.9739 0.4857 0.1716
0.5118 0.4857 0.1716
0.6630 0.3259 0.3915
0.8449 0.1582 0.8927
0.5138 0.0275 0.1732
0.3133 0.1582 0.8927
0.3341 0.6682 0.1015
0.9995 0.9990 0.0059
0.9977 0.9954 0.5093
0.6678 0.3355 0.6012
```

A plane-wave DFT calculation with meta-GGA SCAN was carried out for a crystal of ZrC relaxed with PBEsol.

Values from the calculation:
For the energy of formation from the pure elements, the calculation gives 49 meV/atom.

```
ZrC
1.0
3.2155 0.0000 0.0000
0.0000 3.2148 0.0000
-1.6077 -1.6074 5.5308
C Zr
2 2
direct
0.6251 0.3751 0.2502
0.3749 0.6249 0.7498
0.1251 0.8751 0.2501
0.8749 0.1249 0.7499
```

A plane-wave DFT calculation with meta-GGA SCAN was carried out for a crystal of SmAgGe relaxed with PBEsol.

Values from the calculation:
For the energy of formation from the pure elements, the calculation gives -736 meV/atom.

```
SmAgGe
1.0
-3.0082 -0.3890 -2.9646
4.3673 -4.0568 -3.8994
-4.3296 -3.0103 4.7883
Sm Ag Ge
3 3 3
direct
0.0000 0.4169 0.4169
0.0000 0.0000 0.5831
0.0000 0.5831 0.0000
0.5000 0.7520 0.7520
0.5000 0.0000 0.2480
0.5000 0.2480 0.0000
0.5000 0.6667 0.3333
0.5000 0.3333 0.6667
0.0000 0.0000 0.0000
```

A plane-wave DFT calculation with meta-GGA SCAN was carried out for a crystal of Y2CoCl relaxed with PBEsol.

Values from the calculation:
The formation energy without anion corrections comes out at -0.70 eV per atom.

```
Y2CoCl
1.0
-2.7470 -2.6498 0.3695
2.1542 -2.5046 -1.9469
2.2883 -1.7121 4.7344
Y Co Cl
2 1 1
direct
0.5000 0.5000 0.0000
0.0000 0.0000 0.5000
0.5000 0.5000 0.5000
0.0000 0.0000 0.0000
```

A plane-wave DFT calculation with meta-GGA SCAN was carried out for a crystal of AlFe2B relaxed with PBEsol.

Values from the calculation:
For the energy of formation from the pure elements, the calculation gives 117 meV/atom.

```
AlFe2B
1.0
-0.5677 2.4524 -2.7973
-3.5054 0.9216 -1.0119
-1.3335 3.4375 0.7530
B Fe Al
1 2 1
direct
0.0000 0.0000 0.0000
0.2500 0.2500 0.2500
0.7500 0.7500 0.7500
0.5000 0.5000 0.5000
```

A plane-wave DFT calculation with meta-GGA SCAN was carried out for a crystal of K2ZrTl relaxed with PBEsol.

Values from the calculation:
For the energy of formation from the pure elements, the calculation gives 434 meV/atom.

```
K2ZrTl
1.0
-3.4062 0.8162 -1.1276
-1.9126 -1.8615 4.4299
0.5003 5.6887 2.6064
K Tl Zr
2 1 1
direct
0.0000 0.0000 0.0000
0.5000 0.5000 0.0000
0.5000 0.0000 0.5000
0.0000 0.5000 0.5000
```

A plane-wave DFT calculation with meta-GGA SCAN was carried out for a crystal of MoIrRh2 relaxed with PBEsol.

Values from the calculation:
For the energy of formation from the pure elements, the calculation gives -82 meV/atom.

```
MoIrRh2
1.0
2.6803 0.0000 0.0000
0.0000 2.6803 0.0000
0.0000 0.0000 7.7940
Ir Mo Rh
1 1 2
direct
0.5000 0.5000 0.0000
0.5000 0.5000 0.5000
0.0000 0.0000 0.7519
0.0000 0.0000 0.2481
```

A plane-wave DFT calculation with meta-GGA SCAN was carried out for a crystal of Si3N4 relaxed with PBEsol.

Values from the calculation:
The formation energy without anion corrections comes out at -1.24 eV per atom.

```
Si3N4
1.0
5.5912 0.0000 0.0000
-1.8637 5.2714 0.0000
-1.8637 -2.6357 4.5652
Si N
6 8
direct
0.6250 0.3750 0.2500
0.8750 0.1250 0.7500
0.2500 0.8750 0.6250
0.7500 0.6250 0.8750
0.1250 0.2500 0.3750
0.3750 0.7500 0.1250
0.0000 0.5000 0.9383
0.4383 0.0000 0.0000
0.5000 0.4383 0.5000
0.0617 0.0617 0.5617
0.0000 0.5000 0.4383
0.9383 0.0000 0.0000
0.5617 0.5617 0.0617
0.5000 0.9383 0.5000
```

Number 1: spin magnetization 0.00 μB/f.u., total DFT energy (no corrections) -15.688 eV/atom. Number 2: spin magnetization 0.06 μB/f.u., total DFT energy (no corrections) -19.756 eV/atom. Number 3: spin magnetization 0.00 μB/f.u., total DFT energy (no corrections) -41.512 eV/atom. Number 4: spin magnetization 0.00 μB/f.u., total DFT energy (no corrections) -21.827 eV/atom. Number 5: spin magnetization 0.19 μB/f.u., total DFT energy (no corrections) -44.429 eV/atom. Number 6: spin magnetization 0.00 μB/f.u., total DFT energy (no corrections) -24.107 eV/atom. Number 7: spin magnetization 0.30 μB/f.u., total DFT energy (no corrections) -8.224 eV/atom. Number 8: spin magnetization 0.00 μB/f.u., total DFT energy (no corrections) -30.632 eV/atom. Number 9: spin magnetization 0.00 μB/f.u., total DFT energy (no corrections) -62.368 eV/atom. Number 10: spin magnetization 0.00 μB/f.u., total DFT energy (no corrections) -36.736 eV/atom. Number 11: spin magnetization 2.33 μB/f.u., total DFT energy (no corrections) -14.137 eV/atom. Number 12: spin magnetization 0.00 μB/f.u., total DFT energy (no corrections) -18.322 eV/atom. Number 13: spin magnetization 0.00 μB/f.u., total DFT energy (no corrections) -21.653 eV/atom. Number 14: spin magnetization 0.00 μB/f.u., total DFT energy (no corrections) -14.302 eV/atom. Number 15: spin magnetization 0.00 μB/f.u., total DFT energy (no corrections) -35.465 eV/atom. Number 16: spin magnetization 0.00 μB/f.u., total DFT energy (no corrections) -46.933 eV/atom. Number 17: spin magnetization 10.98 μB/f.u., total DFT energy (no corrections) -12.242 eV/atom. Number 18: spin magnetization 0.00 μB/f.u., total DFT energy (no corrections) -20.350 eV/atom. Number 19: spin magnetization 0.00 μB/f.u., total DFT energy (no corrections) -32.369 eV/atom. Number 20: spin magnetization 0.00 μB/f.u., total DFT energy (no corrections) -20.944 eV/atom. Number 21: spin magnetization 1.29 μB/f.u., total DFT energy (no corrections) -12.743 eV/atom. Number 22: spin magnetization 1.90 μB/f.u., total DFT energy (no corrections) -29.494 eV/atom. Number 23: spin magnetization 0.00 μB/f.u., total DFT energy (no corrections) -43.464 eV/atom. Number 24: spin magnetization 0.00 μB/f.u., total DFT energy (no corrections) -10.841 eV/atom.